1.
The following is a GGA-PBE calculation of a relaxed structure of LiMnAlFe, from the Alexandria database.

a b c (Å): 5.715 5.715 5.715
angles (deg): 90.00 90.00 90.00
Space group F-43m (No. 216)
Asymmetric unit:
Li 0.000 0.000 0.000 [4 per cell]
Mn 0.250 0.250 0.250 [4 per cell]
Al 0.250 0.250 0.750 [4 per cell]
Fe 0.000 0.000 0.500 [4 per cell]

Output
ΔE_f: -51 meV/atom
Total energy: -5.873 eV per atom

2.
The following is a GGA-PBE calculation of a relaxed structure of DyHo5TlIn2, from the Alexandria database.

a b c (Å): 8.498 8.498 14.342
angles (deg): 90.00 90.00 90.00
Space group I4/mcm (No. 140)
Asymmetric unit:
Dy 0.000 0.500 0.250 [4 per cell]
Ho 0.000 0.000 0.000 [4 per cell]
Ho 0.210 0.290 0.134 [16 per cell]
Tl 0.000 0.000 0.250 [4 per cell]
In 0.111 0.389 0.500 [8 per cell]

Output
ΔE_f: -36 meV/atom
Total energy: -3.962 eV per atom

3.
The following is a GGA-PBE calculation of a relaxed structure of Tl2InTe3, from the Alexandria database.

a b c (Å): 13.280 10.392 6.516
angles (deg): 90.00 93.54 90.00
Space group C2/c (No. 15)
Asymmetric unit:
Tl 0.140 0.164 0.211 [8 per cell]
In 0.000 0.381 0.750 [4 per cell]
Te 0.000 0.116 0.750 [4 per cell]
Te 0.166 0.493 0.481 [8 per cell]

Output
Total energy: -3.039 eV per atom

4.
The following is a GGA-PBE calculation of a relaxed structure of Ac2MgNi2, from the Alexandria database.

a b c (Å): 4.167 15.156 4.102
angles (deg): 90.00 90.00 90.00
Space group Cmmm (No. 65)
Asymmetric unit:
Ac 0.000 0.139 0.000 [4 per cell]
Mg 0.000 0.500 0.500 [2 per cell]
Ni 0.000 0.295 0.500 [4 per cell]

Output
ΔE_f: -241 meV/atom
Total energy: -4.515 eV per atom

5.
The following is a GGA-PBE calculation of a relaxed structure of LuHfTi2, from the Alexandria database.

a b c (Å): 4.432 4.432 4.291
angles (deg): 90.00 90.00 90.00
Space group P4/mmm (No. 123)
Asymmetric unit:
Lu 0.000 0.000 0.000 [1 per cell]
Hf 0.500 0.500 0.000 [1 per cell]
Ti 0.000 0.500 0.500 [2 per cell]

Output
Excess energy over the best structure of this formula in the dataset: 0.23 eV/f.u.
ΔE_f: 200 meV/atom
Total energy: -7.366 eV per atom

6.
The following is a GGA-PBE calculation of a relaxed structure of Sr2Si3Pt4Rh, from the Alexandria database.

a b c (Å): 4.330 4.330 10.106
angles (deg): 90.00 90.00 90.00
Space group P-4m2 (No. 115)
Asymmetric unit:
Sr 0.000 0.500 0.246 [2 per cell]
Si 0.000 0.000 0.000 [1 per cell]
Si 0.000 0.500 0.622 [2 per cell]
Pt 0.000 0.000 0.500 [1 per cell]
Pt 0.000 0.500 0.857 [2 per cell]
Pt 0.500 0.500 0.500 [1 per cell]
Rh 0.500 0.500 0.000 [1 per cell]

Output
Total energy: -5.892 eV per atom

7.
The following is a GGA-PBE calculation of a relaxed structure of Be2Rh3, from the Alexandria database.

a b c (Å): 9.026 11.474 4.666
angles (deg): 90.00 90.00 90.00
Space group Fdd2 (No. 43)
Asymmetric unit:
Be 0.026 0.298 0.000 [16 per cell]
Rh 0.000 0.000 0.475 [8 per cell]
Rh 0.068 0.399 0.467 [16 per cell]

Output
Excess energy over the best structure of this formula in the dataset: 0.00 eV/f.u.
ΔE_f: -256 meV/atom
Total energy: -6.157 eV per atom

8.
The following is a GGA-PBE calculation of a relaxed structure of La3Ag2Hg4, from the Alexandria database.

a b c (Å): 11.281 5.037 9.390
angles (deg): 90.00 118.91 90.00
Space group C2/m (No. 12)
Asymmetric unit:
La 0.000 0.000 0.000 [2 per cell]
La 0.167 0.500 0.664 [4 per cell]
Ag 0.108 0.500 0.277 [4 per cell]
Hg 0.058 0.000 0.387 [4 per cell]
Hg 0.217 0.500 0.057 [4 per cell]

Output
ΔE_f: -440 meV/atom
Total energy: -2.851 eV per atom